# 1
Entry from Alexandria via LeMat-Bulk: crystalline TcPBr2 at its relaxed geometry (PBE).

The formation energy (no corrections) comes out at 87.3 kJ/mol of atoms. For the total energy, the calculation gives -3.8758 eV per atom.

The space group is P4/mmm (No. 123) and the conventional cell measures 3.0646, 3.0646 and 8.9451 Å, with angles of 90.00, 90.00 and 90.00 degrees. The distinct sites, in fractional coordinates, are Tc at (0.0000, 0.0000, 0.0000), P at (0.0000, 0.0000, 0.5000) and Br at (0.5000, 0.5000, 0.1796).

***

# 2
Entry from Alexandria via LeMat-Bulk: crystalline Ba4V2Cr at its relaxed geometry (PBE).

Its calculated formation energy is 7.3 eV/f.u. For the total energy, the calculation gives -4.0338 eV per atom.

The space group is I4/mmm (No. 139) and the conventional cell measures 6.3796, 6.3796 and 16.0936 Å, with angles of 90.00, 90.00 and 90.00 degrees. The distinct sites, in fractional coordinates, are Ba at (0.0000, 0.0000, 0.2059), Ba at (0.0000, 0.5000, 0.0000), V at (0.0000, 0.0000, 0.4126) and Cr at (0.0000, 0.0000, 0.0000).

***

# 3
Entry from Alexandria via LeMat-Bulk: crystalline RbNdInSe3 at its relaxed geometry (PBE).

The formation energy (no corrections) comes out at -114.7 kJ/mol of atoms. For the total energy, the calculation gives -4.3431 eV per atom.

The space group is P2_1/m (No. 11) and the conventional cell measures 9.1065, 4.7527 and 10.3712 Å, with angles of 90.00, 107.10 and 90.00 degrees. The distinct sites, in fractional coordinates, are Rb at (0.2151, 0.2500, 0.2347), Nd at (0.3330, 0.7500, 0.8646), In at (0.1099, 0.2500, 0.5961), Se at (0.1101, 0.2500, 0.8547), Se at (0.2275, 0.7500, 0.5477) and Se at (0.4674, 0.7500, 0.1531).

***

The M_tot results, record by record, are as follows: 0.0, 5.3, 0.0 μB per formula unit.